(1)
GGA-PBE Sr3CoTc, relaxed; E above lowest polymorph = 0.0000 eV/atom; SG = No. 221; formation energy from the elements = 484 kJ/mol of formula units; density of states at the Fermi level = 0.873 states/eV per atom
1.0
5.570 0.000 0.000
0.000 5.570 0.000
0.000 0.000 5.570
Sr Co Tc
3 1 1
direct
0.000 0.000 0.500 Sr
0.000 0.500 0.000 Sr
0.500 0.000 0.000 Sr
0.000 0.000 0.000 Co
0.500 0.500 0.500 Tc


(2)
GGA-PBE IrRuRh2, relaxed; E above lowest polymorph = 0.3228 eV/atom; SG = No. 65; formation energy from the elements = 120 kJ/mol of formula units; density of states at the Fermi level = 1.714 states/eV per atom
1.0
1.344 -2.322 0.000
1.344 2.322 0.000
0.000 0.000 9.369
Ir Ru Rh
1 1 2
direct
0.000 0.000 0.000 Ir
0.000 0.000 0.500 Ru
0.500 0.500 0.251 Rh
0.500 0.500 0.749 Rh